The following is a GGA-PBEsol calculation of an optimized crystal structure of BaCdCu, from the Alexandria database.

The value obtained for the energy is -7.9 eV per cell. The calculation puts the density of states at the Fermi level at 2.040 states/eV per cell. The formation energy comes out at -0.084 eV/atom. The magnetization is 0.00 μB per formula unit.

The structure belongs to space group P-6m2 (No. 187); the cell edges are 4.6519, 4.6519 and 4.4881 Å and the angles 90.00°, 90.00° and 120.00°. Symmetry generates all atoms from Ba at (0.0000, 0.0000, 0.0000), Cd at (0.3333, 0.6667, 0.5000) and Cu at (0.6667, 0.3333, 0.5000).

The following is a GGA-PBEsol calculation of an optimized crystal structure of NaCrSn2Pb, from the Alexandria database.

The value obtained for the energy is -19.3 eV per cell. The calculation puts the density of states at the Fermi level at 2.562 states/eV per cell. The formation energy comes out at 0.973 eV/atom. The magnetization is 4.49 μB per formula unit.

The structure belongs to space group P4/mmm (No. 123); the cell edges are 5.297, 5.297 and 4.956 Å and the angles 90.00°, 90.00° and 90.00°. Symmetry generates all atoms from Na at (0.000, 0.000, 0.000), Cr at (0.000, 0.000, 0.500), Sn at (0.000, 0.500, 0.000) and Pb at (0.500, 0.500, 0.500).